Entry 1:
## Li3Zn3Cu2Ag (GGA-PBE)

Data for Li3Zn3Cu2Ag after structural relaxation.

Unit cell a=2.6324 b=7.4751 c=7.4751 alpha=120.00 beta=90.00 gamma=90.00
Fractional positions:
Li: 0.5000 0.6875 0.0000
Li: 0.5000 0.0000 0.6875
Li: 0.5000 0.3125 0.3125
Zn: 0.0000 0.6290 0.6290
Zn: 0.0000 0.0000 0.3710
Zn: 0.0000 0.3710 0.0000
Cu: 0.5000 0.6667 0.3333
Cu: 0.5000 0.3333 0.6667
Ag: 0.0000 0.0000 0.0000

Total magnetization: 0.00 μB per cell



Entry 2:
## Li2Zn4CuAg (GGA-PBE)

Data for Li2Zn4CuAg after structural relaxation.

Unit cell a=4.2511 b=4.3096 c=7.5875 alpha=55.90 beta=90.00 gamma=90.00
Fractional positions:
Li: 0.0000 0.0000 0.0000
Li: 0.5000 0.0000 0.5000
Zn: 0.0000 0.7732 0.7288
Zn: 0.0000 0.2268 0.2712
Zn: 0.5000 0.7306 0.2697
Zn: 0.5000 0.2694 0.7303
Cu: 0.0000 0.5000 0.5000
Ag: 0.5000 0.5000 0.0000

Total magnetization: 0.00 μB per cell



Entry 3:
## LiZnCu2Ag (GGA-PBE)

Data for LiZnCu2Ag after structural relaxation.

Unit cell a=4.8104 b=4.5738 c=4.8104 alpha=90.00 beta=90.00 gamma=90.00
Fractional positions:
Zn: 0.5000 0.5000 0.5000
Cu: 0.0000 0.0000 0.5000
Cu: 0.5000 0.0000 0.0000
Ag: 0.0000 0.0000 0.0000
Li: 0.0000 0.5000 0.0000

Total magnetization: 0.00 μB per cell



Entry 4:
## LiZn2CuAg (GGA-PBE)

Data for LiZn2CuAg after structural relaxation.

Unit cell a=2.7504 b=6.9900 c=8.6727 alpha=110.92 beta=90.00 gamma=101.35
Fractional positions:
Li: 0.6535 0.3070 0.0320
Li: 0.3465 0.6930 0.9680
Zn: 0.4303 0.8606 0.5805
Zn: 0.5697 0.1394 0.4195
Zn: 0.1225 0.2449 0.7300
Zn: 0.8775 0.7551 0.2700
Cu: 0.0197 0.0395 0.1487
Cu: 0.9803 0.9605 0.8513
Ag: 0.2251 0.4502 0.3357
Ag: 0.7749 0.5498 0.6643

Total magnetization: 0.00 μB per cell



Entry 5:
## Li2Zn5Cu2Ag (GGA-PBE)

Data for Li2Zn5Cu2Ag after structural relaxation.

Unit cell a=3.2357 b=9.9876 c=9.9876 alpha=90.00 beta=90.00 gamma=90.00
Fractional positions:
Li: 0.0000 0.6719 0.1719
Li: 0.0000 0.3281 0.8281
Li: 0.0000 0.1719 0.3281
Li: 0.0000 0.8281 0.6719
Zn: 0.5000 0.2023 0.0586
Zn: 0.5000 0.7977 0.9414
Zn: 0.5000 0.0586 0.7977
Zn: 0.5000 0.7023 0.4414
Zn: 0.5000 0.9414 0.2023
Zn: 0.5000 0.2977 0.5586
Zn: 0.5000 0.5586 0.7023
Zn: 0.5000 0.4414 0.2977
Zn: 0.5000 0.5000 0.0000
Zn: 0.5000 0.0000 0.5000
Cu: 0.0000 0.1289 0.6289
Cu: 0.0000 0.8711 0.3711
Cu: 0.0000 0.6289 0.8711
Cu: 0.0000 0.3711 0.1289
Ag: 0.0000 0.0000 0.0000
Ag: 0.0000 0.5000 0.5000

Total magnetization: 0.00 μB per cell



Entry 6:
## LuCuAg2 (GGA-PBE)

Data for LuCuAg2 after structural relaxation.

Unit cell a=3.4255 b=3.4255 c=6.3926 alpha=90.00 beta=90.00 gamma=90.00
Fractional positions:
Lu: 0.5000 0.5000 0.5000
Cu: 0.5000 0.5000 0.0000
Ag: 0.0000 0.0000 0.7823
Ag: 0.0000 0.0000 0.2177

Total magnetization: 0.00 μB per cell



Entry 7:
## LuCu4Ag (GGA-PBE)

Data for LuCu4Ag after structural relaxation.

Unit cell a=5.0203 b=5.0203 c=5.0203 alpha=60.00 beta=60.00 gamma=60.00
Fractional positions:
Lu: 0.2500 0.2500 0.2500
Cu: 0.6254 0.6254 0.1238
Cu: 0.6254 0.1238 0.6254
Cu: 0.6254 0.6254 0.6254
Cu: 0.1238 0.6254 0.6254
Ag: 0.0000 0.0000 0.0000

Total magnetization: 0.00 μB per cell



Entry 8:
## LuCuAg (GGA-PBE)

Data for LuCuAg after structural relaxation.

Unit cell a=3.5374 b=3.5374 c=5.1449 alpha=110.11 beta=110.11 gamma=90.00
Fractional positions:
Lu: 0.6217 0.6217 0.2435
Cu: 0.2856 0.2856 0.5711
Ag: 0.9427 0.9427 0.8854

Total magnetization: 0.00 μB per cell



Entry 9:
## LuCu2Ag (GGA-PBE)

Data for LuCu2Ag after structural relaxation.

Unit cell a=3.3607 b=3.3607 c=6.0824 alpha=90.00 beta=90.00 gamma=90.00
Fractional positions:
Lu: 0.5000 0.5000 0.5000
Cu: 0.0000 0.0000 0.7767
Cu: 0.0000 0.0000 0.2233
Ag: 0.5000 0.5000 0.0000

Total magnetization: 0.00 μB per cell



Entry 10:
## LuCu2Ag (GGA-PBE)

Data for LuCu2Ag after structural relaxation.

Unit cell a=4.5801 b=4.5801 c=4.5801 alpha=60.00 beta=60.00 gamma=60.00
Fractional positions:
Lu: 0.0000 0.0000 0.0000
Cu: 0.2500 0.2500 0.2500
Cu: 0.7500 0.7500 0.7500
Ag: 0.5000 0.5000 0.5000

Total magnetization: 0.00 μB per cell



Entry 11:
## LuCuAg (GGA-PBE)

Data for LuCuAg after structural relaxation.

Unit cell a=3.3606 b=4.4863 c=4.4863 alpha=120.00 beta=90.00 gamma=90.00
Fractional positions:
Lu: 0.6668 0.6667 0.3333
Ag: 0.1668 0.3333 0.6667
Cu: 0.1664 0.0000 0.0000

Total magnetization: 0.00 μB per cell



Entry 12:
## LuCuAg2 (GGA-PBE)

Data for LuCuAg2 after structural relaxation.

Unit cell a=4.7301 b=4.7301 c=4.7301 alpha=60.00 beta=60.00 gamma=60.00
Fractional positions:
Lu: 0.0000 0.0000 0.0000
Cu: 0.5000 0.5000 0.5000
Ag: 0.2500 0.2500 0.2500
Ag: 0.7500 0.7500 0.7500

Total magnetization: 0.00 μB per cell



no.,DOS(E_F) (states/eV per atom),formation energy (kJ/mol of atoms),total energy (eV/atom)
1,0.291,-13.1,-2.426
2,0.224,-16.6,-2.156
3,0.368,62.0,-2.204
4,0.310,-6.0,-2.344
5,0.136,-4.1,-2.167
6,0.345,-10.5,-3.689
7,1.291,-21.1,-4.178
8,0.309,-25.5,-4.087
9,0.379,-12.0,-4.015
10,0.441,-15.6,-4.053
11,0.456,-21.7,-4.048
12,0.452,-11.4,-3.698